MgZr2ZnPb: optimized geometry, PBE.

- formation enthalpy at 0 K (meV per atom) = 258.8
- Fermi-level density of states (states/eV/f.u.) = 2.197
- E above lowest polymorph (meV/atom) = 0
- density (g cm⁻³) = 6.52
- calculated total energy (eV per atom) = -4.476
- crystal system = tetragonal
- space-group type = No. 123

Geometry as POSCAR:
```
MgZr2ZnPb
1.0
5.0622 0.0000 0.0000
0.0000 4.7662 0.0000
0.0000 0.0000 5.0622
Zr Pb Mg Zn
2 1 1 1
direct
0.0000 0.0000 0.5000 Zr
0.5000 0.0000 0.0000 Zr
0.5000 0.5000 0.5000 Pb
0.0000 0.5000 0.0000 Mg
0.0000 0.0000 0.0000 Zn
```